Compound: TiMoO2F
Source: Alexandria via LeMat-Bulk
Functional: PBE+U
Structure: relaxed

Summary:
- ρ: 4.62 g cm⁻³
- M_tot: 2.945 μB/cell
- Total energy: -6.49 eV per atom

```
data_TiMoO2F
_space_group_name_H-M_alt 'P 4/m m m'
_space_group_IT_number 123
_space_group_name_Hall '-P 4 2'
_cell_length_a 4.162
_cell_length_b 4.162
_cell_length_c 4.045
_cell_angle_alpha 90.00
_cell_angle_beta 90.00
_cell_angle_gamma 90.00
loop_
_atom_site_label
_atom_site_type_symbol
_atom_site_fract_x
_atom_site_fract_y
_atom_site_fract_z
_atom_site_occupancy
Ti1 Ti 0.000 0.000 0.000 1
Mo1 Mo 0.500 0.500 0.500 1
O1 O 0.000 0.500 0.500 1
F1 F 0.500 0.500 0.000 1
```